VASP calculation (PBE) on a geometry-optimized SrZn2TcNi structure.

Output
DFT formation energy, kJ/mol of formula units: 519
Space group: P4/mmm (123)
DFT total energy, eV/cell: -15.000

```
SrZn2TcNi
1.0
4.884 0.000 0.000
0.000 4.884 0.000
0.000 0.000 5.365
Sr Zn Tc Ni
1 2 1 1
Direct
0.000 0.000 0.000
0.000 0.500 0.500
0.500 0.000 0.500
0.000 0.000 0.500
0.500 0.500 0.000
```

---

VASP calculation (PBE) on a geometry-optimized ScAl2Co structure.

Output
DFT formation energy, kJ/mol of formula units: -117
Space group: Immm (71)
DFT total energy, eV/cell: -22.130

```
ScAl2Co
1.0
-1.475 2.286 4.682
1.475 -2.286 4.682
1.475 2.286 -4.682
Sc Al Co
1 2 1
Direct
0.000 0.000 0.000
0.286 0.786 0.500
0.714 0.214 0.500
0.500 0.500 0.000
```

---

VASP calculation (PBE) on a geometry-optimized TiMnBr3 structure.

Output
Space group: Pm-3m (221)
Formation energy from raw total energies, eV/atom: -0.228
DFT total energy, eV/cell: -23.224

```
TiMnBr3
1.0
5.255 0.000 0.000
0.000 5.255 0.000
0.000 0.000 5.255
Ti Mn Br
1 1 3
Direct
0.000 0.000 0.000
0.500 0.500 0.500
0.000 0.000 0.500
0.000 0.500 0.000
0.500 0.000 0.000
```

---

VASP calculation (PBE) on a geometry-optimized Sr2Bi2O5 structure.

Output
Space group: Amm2 (38)
Formation energy from raw total energies, eV/atom: -1.829
DFT total energy, eV/cell: -52.378
Energy above the most stable polymorph in this dataset, eV/f.u.: 1.26

```
Sr2Bi2O5
1.0
6.250 0.000 0.000
0.000 1.954 7.447
0.000 -1.954 7.447
Sr Bi O
2 2 5
Direct
0.000 0.000 0.000
0.500 0.379 0.379
0.000 0.762 0.762
0.500 0.627 0.627
0.238 0.859 0.859
0.254 0.531 0.531
0.500 0.195 0.195
0.746 0.531 0.531
0.762 0.859 0.859
```

---

VASP calculation (PBE) on a geometry-optimized Sc2VCr2 structure.

Output
DFT formation energy, kJ/mol of formula units: 289
Space group: I4/mmm (139)
DFT total energy, eV/cell: -38.036
Energy above the most stable polymorph in this dataset, eV/f.u.: 1.64

```
Sc2VCr2
1.0
-1.554 1.554 9.251
1.554 -1.554 9.251
1.554 1.554 -9.251
Sc V Cr
2 1 2
Direct
0.108 0.108 0.000
0.892 0.892 0.000
0.500 0.500 0.000
0.250 0.750 0.500
0.750 0.250 0.500
```

---

VASP calculation (PBE) on a geometry-optimized LaMo2N4 structure.

Output
Space group: Cmcm (63)
Formation energy from raw total energies, eV/atom: -0.668
DFT total energy, eV/cell: -129.139

```
LaMo2N4
1.0
1.678 -4.985 0.000
1.678 4.985 0.000
0.000 0.000 10.138
La Mo N
2 4 8
Direct
0.121 0.879 0.750
0.879 0.121 0.250
0.382 0.618 0.556
0.382 0.618 0.944
0.618 0.382 0.056
0.618 0.382 0.444
0.000 0.000 0.000
0.000 0.000 0.500
0.261 0.739 0.102
0.261 0.739 0.398
0.423 0.577 0.750
0.577 0.423 0.250
0.739 0.261 0.602
0.739 0.261 0.898
```

---

VASP calculation (PBE) on a geometry-optimized Ni2HgRh structure.

Output
DFT formation energy, kJ/mol of formula units: 92
Space group: C2/m (12)
DFT total energy, eV/cell: -18.258

```
Ni2HgRh
1.0
4.321 -1.425 0.000
4.321 1.425 0.000
-0.906 0.000 4.745
Ni Hg Rh
2 1 1
Direct
0.244 0.244 0.213
0.756 0.756 0.787
0.000 0.000 0.500
0.500 0.500 0.000
```

---

VASP calculation (PBE) on a geometry-optimized CuTe structure.

Output
Space group: Imma (74)
Formation energy from raw total energies, eV/atom: 0.170
DFT total energy, eV/cell: -13.796

```
CuTe
1.0
-1.817 1.888 6.337
1.817 -1.888 6.337
1.817 1.888 -6.337
Cu Te
2 2
Direct
0.316 0.066 0.250
0.684 0.934 0.750
0.116 0.366 0.750
0.884 0.634 0.250
```